InHWO2, optimized geometry, DFT PBE with a Hubbard U; space group = P4/mmm (123); electronic total energy = -5.3298 eV per atom
1.0
3.8302 0.0000 0.0000
0.0000 6.1248 0.0000
0.0000 0.0000 3.8302
H O W In
1 2 1 1
Direct
0.5000 0.5000 0.5000
0.0000 0.0000 0.5000
0.5000 0.0000 0.0000
0.0000 0.0000 0.0000
0.0000 0.5000 0.0000